VASP calculation (PBE-GGA) on crystalline Cu2SiTc at its relaxed geometry.

Lattice parameters (Å, degrees): 3.0337 3.0337 5.5465 90.00 90.00 90.00
Space group P4mm (No. 99)
One atom of each set of equivalent atoms:
Cu  0.0000  0.0000  0.0000 x1
Cu  0.5000  0.5000  0.2266 x1
Si  0.0000  0.0000  0.4852 x1
Tc  0.5000  0.5000  0.7101 x1

## Properties
* total energy: -24.06 eV per formula unit